Record 1
Computed, not measured: a relaxed structure of Ta3SnCl at the PBE level of DFT.

ρ (Mg/m³): 12.1
Relative energy among the computed polymorphs (meV/atom): 0
ΔE_f (raw) (eV per atom): 0.787

Geometry as CIF:
```
data_Ta3SnCl
_symmetry_space_group_name_H-M 'P m -3 m'
_symmetry_Int_Tables_number 221
_symmetry_space_group_name_Hall '-P 4 2 3'
_cell_length_a 4.568
_cell_length_b 4.568
_cell_length_c 4.568
_cell_angle_alpha 90.00
_cell_angle_beta 90.00
_cell_angle_gamma 90.00
loop_
_atom_site_label
_atom_site_fract_x
_atom_site_fract_y
_atom_site_fract_z
Ta1 0.000 0.000 0.500
Sn1 0.500 0.500 0.500
Cl1 0.000 0.000 0.000
```

Record 2
Computed, not measured: a relaxed structure of Dy2Si4Ir3Pt at the PBE level of DFT.

ρ (Mg/m³): 11.9
ΔE_f (raw) (eV per atom): -1.053

Geometry as CIF:
```
data_Dy2Si4Ir3Pt
_symmetry_space_group_name_H-M 'P -4 m 2'
_symmetry_Int_Tables_number 115
_symmetry_space_group_name_Hall 'P -4 -2'
_cell_length_a 4.109
_cell_length_b 4.109
_cell_length_c 10.024
_cell_angle_alpha 90.00
_cell_angle_beta 90.00
_cell_angle_gamma 90.00
loop_
_atom_site_label
_atom_site_fract_x
_atom_site_fract_y
_atom_site_fract_z
Dy1 0.000 0.500 0.241
Si1 0.000 0.000 0.000
Si2 0.000 0.500 0.637
Si3 0.500 0.500 0.000
Ir1 0.000 0.500 0.872
Ir2 0.500 0.500 0.500
Pt1 0.000 0.000 0.500
```

Record 3
Computed, not measured: a relaxed structure of LaPmPrPb at the PBE level of DFT.

ρ (Mg/m³): 8.2
Relative energy among the computed polymorphs (meV/atom): 0
Formation enthalpy at 0 K (eV/f.u.): -1.26

Geometry as CIF:
```
data_LaPmPrPb
_symmetry_space_group_name_H-M 'I -4 m 2'
_symmetry_Int_Tables_number 119
_symmetry_space_group_name_Hall 'I -4 -2'
_cell_length_a 4.963
_cell_length_b 4.963
_cell_length_c 10.398
_cell_angle_alpha 90.00
_cell_angle_beta 90.00
_cell_angle_gamma 90.00
loop_
_atom_site_label
_atom_site_fract_x
_atom_site_fract_y
_atom_site_fract_z
La1 0.000 0.000 0.000
Pm1 0.000 0.500 0.750
Pr1 0.000 0.500 0.250
Pb1 0.000 0.000 0.500
```

Record 4
Computed, not measured: a relaxed structure of Cs3La3GaTe8 at the PBE level of DFT.

ρ (Mg/m³): 4.7
ΔE_f (raw) (eV per atom): -1.113

Geometry as CIF:
```
data_Cs3La3GaTe8
_symmetry_space_group_name_H-M 'C 1 2/m 1'
_symmetry_Int_Tables_number 12
_symmetry_space_group_name_Hall '-C 2y'
_cell_length_a 15.858
_cell_length_b 9.335
_cell_length_c 10.567
_cell_angle_alpha 90.00
_cell_angle_beta 119.67
_cell_angle_gamma 90.00
loop_
_atom_site_label
_atom_site_fract_x
_atom_site_fract_y
_atom_site_fract_z
Cs1 0.000 0.000 0.000
Cs2 0.250 0.250 0.000
La1 0.000 0.500 0.500
La2 0.250 0.250 0.500
Ga1 0.000 0.000 0.500
Te1 0.017 0.240 0.312
Te2 0.199 0.000 0.673
Te3 0.234 0.500 0.699
```

Record 5
Computed, not measured: a relaxed structure of BaLi9Ag3 at the PBE level of DFT.

ρ (Mg/m³): 3.2
Formation enthalpy at 0 K (eV/f.u.): -1.50

Geometry as CIF:
```
data_BaLi9Ag3
_symmetry_space_group_name_H-M 'C 1 2/m 1'
_symmetry_Int_Tables_number 12
_symmetry_space_group_name_Hall '-C 2y'
_cell_length_a 5.704
_cell_length_b 13.806
_cell_length_c 7.396
_cell_angle_alpha 90.00
_cell_angle_beta 111.11
_cell_angle_gamma 90.00
loop_
_atom_site_label
_atom_site_fract_x
_atom_site_fract_y
_atom_site_fract_z
Ba1 0.000 0.000 0.000
Li1 0.000 0.500 0.500
Li2 0.119 0.379 0.235
Li3 0.157 0.182 0.352
Ag1 0.000 0.000 0.500
Ag2 0.250 0.250 0.000
```

Record 6
Computed, not measured: a relaxed structure of Dy4Tm2S9 at the PBE level of DFT.

ρ (Mg/m³): 5.6
ΔE_f (raw) (eV per atom): -2.062

Geometry as CIF:
```
data_Dy4Tm2S9
_symmetry_space_group_name_H-M 'P -3 c 1'
_symmetry_Int_Tables_number 165
_symmetry_space_group_name_Hall '-P 3 2"c'
_cell_length_a 6.8746
_cell_length_b 6.8746
_cell_length_c 18.4486
_cell_angle_alpha 90.00
_cell_angle_beta 90.00
_cell_angle_gamma 120.00
loop_
_atom_site_label
_atom_site_fract_x
_atom_site_fract_y
_atom_site_fract_z
Dy1 0.3333 0.6667 0.1836
Dy2 0.3333 0.6667 0.4823
Tm1 0.0000 0.0000 0.1507
S1 0.0000 0.2985 0.2500
S2 0.0333 0.3615 0.5834
```

Record 7
Computed, not measured: a relaxed structure of CaMg6Ga at the PBE level of DFT.

ρ (Mg/m³): 2.2
Formation enthalpy at 0 K (eV/f.u.): -0.35

Geometry as CIF:
```
data_CaMg6Ga
_symmetry_space_group_name_H-M 'A m m 2'
_symmetry_Int_Tables_number 38
_symmetry_space_group_name_Hall 'A 2 -2'
_cell_length_a 5.039
_cell_length_b 6.516
_cell_length_c 11.588
_cell_angle_alpha 90.00
_cell_angle_beta 90.00
_cell_angle_gamma 90.00
loop_
_atom_site_label
_atom_site_fract_x
_atom_site_fract_y
_atom_site_fract_z
Ca1 0.000 0.000 0.000
Mg1 0.000 0.000 0.481
Mg2 0.000 0.248 0.241
Mg3 0.500 0.000 0.644
Mg4 0.500 0.243 0.392
Ga1 0.500 0.000 0.157
```

Record 8
Computed, not measured: a relaxed structure of CrAsRu2 at the PBE level of DFT.

ρ (Mg/m³): 9.7
Formation enthalpy at 0 K (eV/f.u.): 0.26

Geometry as CIF:
```
data_CrAsRu2
_symmetry_space_group_name_H-M 'C 1 2/m 1'
_symmetry_Int_Tables_number 12
_symmetry_space_group_name_Hall '-C 2y'
_cell_length_a 8.516
_cell_length_b 2.847
_cell_length_c 4.686
_cell_angle_alpha 90.00
_cell_angle_beta 99.02
_cell_angle_gamma 90.00
loop_
_atom_site_label
_atom_site_fract_x
_atom_site_fract_y
_atom_site_fract_z
Cr1 0.000 0.000 0.000
As1 0.000 0.500 0.500
Ru1 0.239 0.500 0.240
```

Record 9
Computed, not measured: a relaxed structure of LiVSn2 at the PBE level of DFT.

ρ (Mg/m³): 6.3
Relative energy among the computed polymorphs (meV/atom): 11
Formation enthalpy at 0 K (eV/f.u.): -0.07

Geometry as CIF:
```
data_LiVSn2
_symmetry_space_group_name_H-M 'F m -3 m'
_symmetry_Int_Tables_number 225
_symmetry_space_group_name_Hall '-F 4 2 3'
_cell_length_a 6.795
_cell_length_b 6.795
_cell_length_c 6.795
_cell_angle_alpha 90.00
_cell_angle_beta 90.00
_cell_angle_gamma 90.00
loop_
_atom_site_label
_atom_site_fract_x
_atom_site_fract_y
_atom_site_fract_z
Li1 0.000 0.000 0.000
V1 0.000 0.000 0.500
Sn1 0.250 0.250 0.250
```

Record 10
Computed, not measured: a relaxed structure of CsAg5S4 at the PBE level of DFT.

ρ (Mg/m³): 4.8
ΔE_f (raw) (eV per atom): -0.201

Geometry as CIF:
```
data_CsAg5S4
_symmetry_space_group_name_H-M 'P m m n'
_symmetry_Int_Tables_number 59
_cell_length_a 7.982
_cell_length_b 9.700
_cell_length_c 7.102
_cell_angle_alpha 90.00
_cell_angle_beta 90.00
_cell_angle_gamma 90.00
loop_
_symmetry_equiv_pos_as_xyz
'x,y,z'
'-x,-y,-z'
'-x+1/2,-y+1/2,z'
'x+1/2,y+1/2,-z'
'x+1/2,-y,-z'
'-x+1/2,y,z'
'-x,y+1/2,-z'
'x,-y+1/2,z'
loop_
_atom_site_label
_atom_site_fract_x
_atom_site_fract_y
_atom_site_fract_z
Cs1 0.250 0.250 0.189
Ag1 0.008 0.099 0.700
Ag2 0.250 0.750 0.581
S1 0.118 0.750 0.064
S2 0.250 0.504 0.543
```

Record 11
Computed, not measured: a relaxed structure of PuIn2Hg5 at the PBE level of DFT.

ρ (Mg/m³): 11.5
Relative energy among the computed polymorphs (meV/atom): 64
Formation enthalpy at 0 K (eV/f.u.): -0.08

Geometry as CIF:
```
data_PuIn2Hg5
_symmetry_space_group_name_H-M 'I 4/m c m'
_symmetry_Int_Tables_number 140
_symmetry_space_group_name_Hall '-I 4 2c'
_cell_length_a 8.089
_cell_length_b 8.089
_cell_length_c 12.986
_cell_angle_alpha 90.00
_cell_angle_beta 90.00
_cell_angle_gamma 90.00
loop_
_atom_site_label
_atom_site_fract_x
_atom_site_fract_y
_atom_site_fract_z
Pu1 0.000 0.000 0.250
In1 0.150 0.350 0.000
Hg1 0.000 0.000 0.000
Hg2 0.148 0.352 0.336
```

Record 12
Computed, not measured: a relaxed structure of CrTeBr2 at the PBE level of DFT.

ρ (Mg/m³): 5.1
Relative energy among the computed polymorphs (meV/atom): 360
ΔE_f (raw) (eV per atom): 0.047

Geometry as CIF:
```
data_CrTeBr2
_symmetry_space_group_name_H-M 'R -3 m'
_symmetry_Int_Tables_number 166
_symmetry_space_group_name_Hall '-R 3 2"'
_cell_length_a 3.3499
_cell_length_b 3.3499
_cell_length_c 34.3716
_cell_angle_alpha 90.00
_cell_angle_beta 90.00
_cell_angle_gamma 120.00
loop_
_atom_site_label
_atom_site_fract_x
_atom_site_fract_y
_atom_site_fract_z
Cr1 0.0000 0.0000 0.0000
Te1 0.0000 0.0000 0.5000
Br1 0.0000 0.0000 0.3795
```

no.,magnetic moment (μB/atom)
1,0.0000
2,0.0000
3,0.0000
4,0.0000
5,0.0000
6,0.0000
7,0.0000
8,0.4494
9,0.7573
10,0.0000
11,0.7469
12,0.0380